TaTl4Ru: relaxed, PBE.

Values from the calculation:
The value obtained for the formation energy is 1.38 eV per atom. The value obtained for the energy is -89.264 eV per cell.

Structure (CIF):
```
data_TaTl4Ru
_symmetry_space_group_name_H-M 'F -4 3 m'
_symmetry_Int_Tables_number 216
_symmetry_space_group_name_Hall 'F -4 2 3'
_cell_length_a 8.390
_cell_length_b 8.390
_cell_length_c 8.390
_cell_angle_alpha 90.00
_cell_angle_beta 90.00
_cell_angle_gamma 90.00
loop_
_atom_site_label
_atom_site_fract_x
_atom_site_fract_y
_atom_site_fract_z
Ta1 0.000 0.000 0.000
Tl1 0.125 0.125 0.375
Ru1 0.250 0.250 0.750
```

---

TaTlRu: relaxed, PBE.

Values from the calculation:
The excess energy over the best structure of this formula in the dataset is 107.3 meV/atom. The value obtained for the formation energy is 0.29 eV per atom. The value obtained for the energy is -22.636 eV per cell.

Structure (CIF):
```
data_TaTlRu
_symmetry_space_group_name_H-M 'P 3 m 1'
_symmetry_Int_Tables_number 156
_cell_length_a 3.2381
_cell_length_b 3.2381
_cell_length_c 6.6978
_cell_angle_alpha 90.00
_cell_angle_beta 90.00
_cell_angle_gamma 120.00
loop_
_symmetry_equiv_pos_as_xyz
'x,y,z'
'-y,x-y,z'
'-x+y,-x,z'
'-y,-x,z'
'-x+y,y,z'
'x,x-y,z'
loop_
_atom_site_label
_atom_site_fract_x
_atom_site_fract_y
_atom_site_fract_z
Ta1 0.0000 0.0000 0.0000
Tl1 0.6667 0.3333 0.3907
Ru1 0.3333 0.6667 0.7551
```

---

Ta2TlRu: relaxed, PBE.

Values from the calculation:
The excess energy over the best structure of this formula in the dataset is 135.9 meV/atom. The value obtained for the formation energy is 0.25 eV per atom. The value obtained for the energy is -34.355 eV per cell.

Structure (CIF):
```
data_Ta2TlRu
_symmetry_space_group_name_H-M 'P 1 m 1'
_symmetry_Int_Tables_number 6
_cell_length_a 3.039
_cell_length_b 4.271
_cell_length_c 6.045
_cell_angle_alpha 90.00
_cell_angle_beta 104.53
_cell_angle_gamma 90.00
loop_
_symmetry_equiv_pos_as_xyz
'x,y,z'
'x,-y,z'
loop_
_atom_site_label
_atom_site_fract_x
_atom_site_fract_y
_atom_site_fract_z
Ta1 0.000 0.000 0.000
Ta2 0.379 0.500 0.755
Tl1 0.638 0.500 0.274
Ru1 0.795 0.000 0.586
```

---

Ta2TlRu: relaxed, PBE.

Values from the calculation:
The excess energy over the best structure of this formula in the dataset is 215.3 meV/atom. The value obtained for the formation energy is 0.33 eV per atom. The value obtained for the energy is -34.038 eV per cell.

Structure (CIF):
```
data_Ta2TlRu
_symmetry_space_group_name_H-M 'P 4/m m m'
_symmetry_Int_Tables_number 123
_symmetry_space_group_name_Hall '-P 4 2'
_cell_length_a 3.443
_cell_length_b 3.443
_cell_length_c 6.207
_cell_angle_alpha 90.00
_cell_angle_beta 90.00
_cell_angle_gamma 90.00
loop_
_atom_site_label
_atom_site_fract_x
_atom_site_fract_y
_atom_site_fract_z
Ta1 0.000 0.000 0.213
Tl1 0.500 0.500 0.500
Ru1 0.500 0.500 0.000
```

---

TaTlRu2: relaxed, PBE.

Values from the calculation:
The value obtained for the formation energy is 0.22 eV per atom. The value obtained for the energy is -63.811 eV per cell.

Structure (CIF):
```
data_TaTlRu2
_symmetry_space_group_name_H-M 'I m m 2'
_symmetry_Int_Tables_number 44
_cell_length_a 3.675
_cell_length_b 4.069
_cell_length_c 8.976
_cell_angle_alpha 90.00
_cell_angle_beta 90.00
_cell_angle_gamma 90.00
loop_
_symmetry_equiv_pos_as_xyz
'x,y,z'
'-x,-y,z'
'-x,y,z'
'x,-y,z'
'x+1/2,y+1/2,z+1/2'
'-x+1/2,-y+1/2,z+1/2'
'-x+1/2,y+1/2,z+1/2'
'x+1/2,-y+1/2,z+1/2'
loop_
_atom_site_label
_atom_site_fract_x
_atom_site_fract_y
_atom_site_fract_z
Ta1 0.000 0.000 0.000
Tl1 0.000 0.500 0.756
Ru1 0.000 0.000 0.511
Ru2 0.000 0.500 0.273
```

---

Ta2TlRu: relaxed, PBE.

Values from the calculation:
The excess energy over the best structure of this formula in the dataset is 153.3 meV/atom. The value obtained for the formation energy is 0.27 eV per atom. The value obtained for the energy is -68.571 eV per cell.

Structure (CIF):
```
data_Ta2TlRu
_symmetry_space_group_name_H-M 'C 1 m 1'
_symmetry_Int_Tables_number 8
_cell_length_a 9.947
_cell_length_b 3.095
_cell_length_c 4.963
_cell_angle_alpha 90.00
_cell_angle_beta 107.39
_cell_angle_gamma 90.00
loop_
_symmetry_equiv_pos_as_xyz
'x,y,z'
'x,-y,z'
'x+1/2,y+1/2,z'
'x+1/2,-y+1/2,z'
loop_
_atom_site_label
_atom_site_fract_x
_atom_site_fract_y
_atom_site_fract_z
Ta1 0.000 0.000 0.000
Ta2 0.249 0.000 0.767
Tl1 0.476 0.000 0.481
Ru1 0.219 0.500 0.236
```

---

Ta2TlRu: relaxed, PBE.

Values from the calculation:
The excess energy over the best structure of this formula in the dataset is 709.5 meV/atom. The value obtained for the formation energy is 0.82 eV per atom. The value obtained for the energy is -128.243 eV per cell.

Structure (CIF):
```
data_Ta2TlRu
_symmetry_space_group_name_H-M 'I -4 2 d'
_symmetry_Int_Tables_number 122
_symmetry_space_group_name_Hall 'I -4 2bw'
_cell_length_a 3.976
_cell_length_b 3.976
_cell_length_c 19.686
_cell_angle_alpha 90.00
_cell_angle_beta 90.00
_cell_angle_gamma 90.00
loop_
_atom_site_label
_atom_site_fract_x
_atom_site_fract_y
_atom_site_fract_z
Ta1 0.248 0.250 0.125
Tl1 0.000 0.000 0.500
Ru1 0.000 0.000 0.000
```

---

TaTlRu: relaxed, PBE.

Values from the calculation:
The excess energy over the best structure of this formula in the dataset is 0.0 meV/atom. The value obtained for the formation energy is 0.18 eV per atom. The value obtained for the energy is -45.916 eV per cell.

Structure (CIF):
```
data_TaTlRu
_symmetry_space_group_name_H-M 'I 4 m m'
_symmetry_Int_Tables_number 107
_symmetry_space_group_name_Hall 'I 4 -2'
_cell_length_a 3.103
_cell_length_b 3.103
_cell_length_c 11.644
_cell_angle_alpha 90.00
_cell_angle_beta 90.00
_cell_angle_gamma 90.00
loop_
_atom_site_label
_atom_site_fract_x
_atom_site_fract_y
_atom_site_fract_z
Ta1 0.000 0.000 0.000
Tl1 0.000 0.000 0.305
Ru1 0.000 0.000 0.625
```

---

TaTlRu2: relaxed, PBE.

Values from the calculation:
The value obtained for the formation energy is -0.05 eV per atom. The value obtained for the energy is -32.960 eV per cell.

Structure (CIF):
```
data_TaTlRu2
_symmetry_space_group_name_H-M 'P 4/m m m'
_symmetry_Int_Tables_number 123
_symmetry_space_group_name_Hall '-P 4 2'
_cell_length_a 3.207
_cell_length_b 3.207
_cell_length_c 6.631
_cell_angle_alpha 90.00
_cell_angle_beta 90.00
_cell_angle_gamma 90.00
loop_
_atom_site_label
_atom_site_fract_x
_atom_site_fract_y
_atom_site_fract_z
Ta1 0.000 0.000 0.000
Tl1 0.000 0.000 0.500
Ru1 0.500 0.500 0.223
```

---

Ta2TlRu: relaxed, PBE.

Values from the calculation:
The excess energy over the best structure of this formula in the dataset is 186.7 meV/atom. The value obtained for the formation energy is 0.30 eV per atom. The value obtained for the energy is -68.304 eV per cell.

Structure (CIF):
```
data_Ta2TlRu
_symmetry_space_group_name_H-M 'C m m m'
_symmetry_Int_Tables_number 65
_symmetry_space_group_name_Hall '-C 2 2'
_cell_length_a 5.714
_cell_length_b 8.383
_cell_length_c 2.983
_cell_angle_alpha 90.00
_cell_angle_beta 90.00
_cell_angle_gamma 90.00
loop_
_atom_site_label
_atom_site_fract_x
_atom_site_fract_y
_atom_site_fract_z
Ta1 0.250 0.250 0.000
Tl1 0.000 0.000 0.500
Ru1 0.000 0.500 0.500
```

---

Ta2TlRu: relaxed, PBE.

Values from the calculation:
The excess energy over the best structure of this formula in the dataset is 211.5 meV/atom. The value obtained for the formation energy is 0.32 eV per atom. The value obtained for the energy is -102.158 eV per cell.

Structure (CIF):
```
data_Ta2TlRu
_symmetry_space_group_name_H-M 'R -3 m'
_symmetry_Int_Tables_number 166
_symmetry_space_group_name_Hall '-R 3 2"'
_cell_length_a 3.0319
_cell_length_b 3.0319
_cell_length_c 27.8924
_cell_angle_alpha 90.00
_cell_angle_beta 90.00
_cell_angle_gamma 120.00
loop_
_atom_site_label
_atom_site_fract_x
_atom_site_fract_y
_atom_site_fract_z
Ta1 0.0000 0.0000 0.2413
Tl1 0.0000 0.0000 0.0000
Ru1 0.0000 0.0000 0.5000
```

---

Ta2TlRu: relaxed, PBE.

Values from the calculation:
The excess energy over the best structure of this formula in the dataset is 182.4 meV/atom. The value obtained for the formation energy is 0.29 eV per atom. The value obtained for the energy is -68.338 eV per cell.

Structure (CIF):
```
data_Ta2TlRu
_symmetry_space_group_name_H-M 'I 4/m m m'
_symmetry_Int_Tables_number 139
_symmetry_space_group_name_Hall '-I 4 2'
_cell_length_a 4.049
_cell_length_b 4.049
_cell_length_c 8.686
_cell_angle_alpha 90.00
_cell_angle_beta 90.00
_cell_angle_gamma 90.00
loop_
_atom_site_label
_atom_site_fract_x
_atom_site_fract_y
_atom_site_fract_z
Ta1 0.000 0.500 0.250
Tl1 0.000 0.000 0.000
Ru1 0.000 0.000 0.500
```

---

TaTlRu2: relaxed, PBE.

Values from the calculation:
The value obtained for the formation energy is 0.61 eV per atom. The value obtained for the energy is -121.290 eV per cell.

Structure (CIF):
```
data_TaTlRu2
_symmetry_space_group_name_H-M 'I -4 2 d'
_symmetry_Int_Tables_number 122
_symmetry_space_group_name_Hall 'I -4 2bw'
_cell_length_a 7.196
_cell_length_b 7.196
_cell_length_c 5.856
_cell_angle_alpha 90.00
_cell_angle_beta 90.00
_cell_angle_gamma 90.00
loop_
_atom_site_label
_atom_site_fract_x
_atom_site_fract_y
_atom_site_fract_z
Ta1 0.000 0.000 0.000
Tl1 0.000 0.000 0.500
Ru1 0.211 0.250 0.125
```

---

TaTlRu2: relaxed, PBE.

Values from the calculation:
The value obtained for the formation energy is 0.46 eV per atom. The value obtained for the energy is -92.737 eV per cell.

Structure (CIF):
```
data_TaTlRu2
_symmetry_space_group_name_H-M 'R 3 m'
_symmetry_Int_Tables_number 160
_symmetry_space_group_name_Hall 'R 3 -2"'
_cell_length_a 2.9211
_cell_length_b 2.9211
_cell_length_c 27.9970
_cell_angle_alpha 90.00
_cell_angle_beta 90.00
_cell_angle_gamma 120.00
loop_
_atom_site_label
_atom_site_fract_x
_atom_site_fract_y
_atom_site_fract_z
Ta1 0.0000 0.0000 0.0000
Tl1 0.0000 0.0000 0.2392
Ru1 0.0000 0.0000 0.4870
Ru2 0.0000 0.0000 0.7479
```

---

Ta2TlRu: relaxed, PBE.

Values from the calculation:
The excess energy over the best structure of this formula in the dataset is 175.8 meV/atom. The value obtained for the formation energy is 0.29 eV per atom. The value obtained for the energy is -68.391 eV per cell.

Structure (CIF):
```
data_Ta2TlRu
_symmetry_space_group_name_H-M 'I m m 2'
_symmetry_Int_Tables_number 44
_cell_length_a 3.128
_cell_length_b 4.823
_cell_length_c 9.669
_cell_angle_alpha 90.00
_cell_angle_beta 90.00
_cell_angle_gamma 90.00
loop_
_symmetry_equiv_pos_as_xyz
'x,y,z'
'-x,-y,z'
'-x,y,z'
'x,-y,z'
'x+1/2,y+1/2,z+1/2'
'-x+1/2,-y+1/2,z+1/2'
'-x+1/2,y+1/2,z+1/2'
'x+1/2,-y+1/2,z+1/2'
loop_
_atom_site_label
_atom_site_fract_x
_atom_site_fract_y
_atom_site_fract_z
Ta1 0.000 0.000 0.000
Ta2 0.000 0.500 0.250
Tl1 0.000 0.500 0.778
Ru1 0.000 0.000 0.529
```